Crystalline LaScMoI2 at its relaxed geometry. Source: Alexandria via LeMat-Bulk, functional PBE.

The structure in POSCAR format:
```
LaScMoI2
1.0
5.5067 0.0000 0.0000
0.0000 4.8534 0.0000
0.0000 0.0000 5.5067
I Sc Mo La
2 1 1 1
Direct
0.0000 0.0000 0.5000 I
0.5000 0.0000 0.0000 I
0.0000 0.5000 0.0000 Sc
0.0000 0.0000 0.0000 Mo
0.5000 0.5000 0.5000 La
```

Computed properties:
Formation energy from raw total energies: 0.34 eV per atom
Space group: P4/mmm (123)
Size of the total moment: 0.00 μB per cell

***

Crystalline LaTcMo2I at its relaxed geometry. Source: Alexandria via LeMat-Bulk, functional PBE.

The structure in POSCAR format:
```
LaTcMo2I
1.0
4.7532 0.0000 0.0000
0.0000 5.6005 0.0000
0.0000 0.0000 4.7532
I Mo Tc La
1 2 1 1
Direct
0.0000 0.5000 0.0000 I
0.0000 0.0000 0.5000 Mo
0.5000 0.0000 0.0000 Mo
0.0000 0.0000 0.0000 Tc
0.5000 0.5000 0.5000 La
```

Computed properties:
Formation energy from raw total energies: 0.98 eV per atom
Space group: P4/mmm (123)
Size of the total moment: 1.17 μB per cell

***

Crystalline La4IN2 at its relaxed geometry. Source: Alexandria via LeMat-Bulk, functional PBE.

The structure in POSCAR format:
```
La4IN2
1.0
7.0559 0.8893 0.6412
0.3159 7.5683 -0.5306
-3.1675 -4.6456 7.2713
La I N
8 2 4
Direct
0.8411 0.1272 0.2546 La
0.4733 0.6160 0.2793 La
0.8572 0.5672 0.7106 La
0.8277 0.0456 0.6005 La
0.4157 0.2141 0.4048 La
0.3598 0.1975 0.7558 La
0.4367 0.7281 0.9183 La
0.8385 0.5516 0.0920 La
0.1515 0.6609 0.5063 I
0.1198 0.1227 0.9997 I
0.6230 0.3796 0.7449 N
0.6322 0.8910 0.2563 N
0.6335 0.4122 0.4032 N
0.0399 0.2363 0.5737 N
```

Computed properties:
Formation energy from raw total energies: -0.98 eV per atom
Space group: P1 (1)
Size of the total moment: 0.00 μB per cell

***

Crystalline La3IN2 at its relaxed geometry. Source: Alexandria via LeMat-Bulk, functional PBE.

The structure in POSCAR format:
```
La3IN2
1.0
-2.6539 0.8261 2.9704
-5.4237 -3.1778 -3.9619
4.3956 -9.8854 6.6763
La I N
6 2 4
Direct
0.7500 0.8418 0.2255 La
0.2500 0.1582 0.7745 La
0.7500 0.6145 0.9167 La
0.2500 0.3855 0.0833 La
0.2500 0.1663 0.4550 La
0.7500 0.8337 0.5450 La
0.2500 0.5610 0.3548 I
0.7500 0.4390 0.6452 I
0.2500 0.4360 0.9069 N
0.7500 0.5640 0.0931 N
0.7500 0.0035 0.4058 N
0.2500 0.9965 0.5942 N
```

Computed properties:
Formation energy from raw total energies: -1.25 eV per atom
Space group: P2_1/m (11)
Size of the total moment: 0.71 μB per cell

***

Crystalline La4I5N2 at its relaxed geometry. Source: Alexandria via LeMat-Bulk, functional PBE.

The structure in POSCAR format:
```
La4I5N2
1.0
-1.2864 -1.1541 -3.6452
6.3311 -4.9618 -0.6633
-10.1834 -4.8019 7.3465
La I N
4 5 2
Direct
0.3978 0.1490 0.7956 La
0.9543 0.6078 0.9086 La
0.6022 0.8510 0.2044 La
0.0457 0.3922 0.0914 La
0.8187 0.2639 0.6374 I
0.1813 0.7361 0.3626 I
0.8520 0.7915 0.7041 I
0.5000 0.0000 0.0000 I
0.1480 0.2085 0.2959 I
0.9526 0.3136 0.9052 N
0.0474 0.6864 0.0948 N
```

Computed properties:
Formation energy from raw total energies: -1.46 eV per atom
Space group: C2/m (12)
Size of the total moment: 0.00 μB per cell

***

Crystalline LaI2N2 at its relaxed geometry. Source: Alexandria via LeMat-Bulk, functional PBE.

The structure in POSCAR format:
```
LaI2N2
1.0
-4.4985 -0.9352 4.9366
-3.2173 -4.5534 -3.7943
2.3465 -2.9709 1.5755
I N La
2 2 1
Direct
0.0000 0.5000 0.0000 I
0.5000 0.0000 0.0000 I
0.5000 0.5000 0.5000 N
0.0000 0.0000 0.5000 N
0.0000 0.0000 0.0000 La
```

Computed properties:
Formation energy from raw total energies: 0.76 eV per atom
Space group: P4/mmm (123)
Size of the total moment: 3.67 μB per cell

***

Crystalline LaI2N2 at its relaxed geometry. Source: Alexandria via LeMat-Bulk, functional PBE.

The structure in POSCAR format:
```
LaI2N2
1.0
4.6445 0.0000 0.0000
0.0000 4.6445 0.0000
0.0000 0.0000 4.9089
I N La
2 2 1
Direct
0.0000 0.5000 0.0000 I
0.5000 0.0000 0.0000 I
0.0000 0.0000 0.0000 N
0.0000 0.0000 0.5000 N
0.5000 0.5000 0.5000 La
```

Computed properties:
Formation energy from raw total energies: 0.90 eV per atom
Space group: P4/mmm (123)
Size of the total moment: 0.00 μB per cell

***

Crystalline La4I3N2 at its relaxed geometry. Source: Alexandria via LeMat-Bulk, functional PBE.

The structure in POSCAR format:
```
La4I3N2
1.0
-2.3093 0.5165 3.3101
-5.0793 4.2797 -6.7123
0.9580 -9.2798 2.1164
La I N
4 3 2
Direct
0.3048 0.6096 0.7302 La
0.6952 0.3904 0.2698 La
0.1416 0.2831 0.8579 La
0.8584 0.7169 0.1421 La
0.3924 0.7848 0.4992 I
0.0000 0.0000 0.0000 I
0.6076 0.2152 0.5008 I
0.2991 0.5981 0.9656 N
0.7009 0.4019 0.0344 N
```

Computed properties:
Formation energy from raw total energies: -1.40 eV per atom
Space group: C2/m (12)
Size of the total moment: 1.01 μB per cell

***

Crystalline La2I2N at its relaxed geometry. Source: Alexandria via LeMat-Bulk, functional PBE.

The structure in POSCAR format:
```
La2I2N
1.0
3.7077 0.0000 0.0000
-1.8539 6.3308 0.0000
0.0000 0.0000 12.7538
La I N
4 4 2
Direct
0.1992 0.3984 0.1168 La
0.0716 0.1432 0.8960 La
0.8008 0.6016 0.6168 La
0.9284 0.8568 0.3960 La
0.9179 0.8357 0.1324 I
0.3486 0.6971 0.8372 I
0.0821 0.1643 0.6324 I
0.6514 0.3029 0.3372 I
0.6358 0.2717 0.0028 N
0.3641 0.7283 0.5028 N
```

Computed properties:
Formation energy from raw total energies: -1.25 eV per atom
Space group: Cmc2_1 (36)
Size of the total moment: 0.01 μB per cell

***

Crystalline La5I5N2 at its relaxed geometry. Source: Alexandria via LeMat-Bulk, functional PBE.

The structure in POSCAR format:
```
La5I5N2
1.0
-0.7804 2.8386 2.8004
6.0244 -4.8583 3.6559
7.4088 7.2607 -5.2951
La I N
5 5 2
Direct
0.1077 0.2154 0.3119 La
0.5864 0.1728 0.7720 La
0.4136 0.8272 0.2280 La
0.8923 0.7846 0.6881 La
0.0000 0.0000 0.0000 La
0.5000 0.0000 0.5000 I
0.6544 0.3089 0.0626 I
0.7863 0.5726 0.3644 I
0.2137 0.4274 0.6356 I
0.3456 0.6911 0.9374 I
0.0119 0.0238 0.7865 N
0.9881 0.9762 0.2135 N
```

Computed properties:
Formation energy from raw total energies: -1.35 eV per atom
Space group: C2/m (12)
Size of the total moment: 0.00 μB per cell

***

Crystalline LaI2N at its relaxed geometry. Source: Alexandria via LeMat-Bulk, functional PBE.

The structure in POSCAR format:
```
LaI2N
1.0
4.4781 0.0000 0.0000
0.0000 4.4781 0.0000
2.2391 2.2391 11.6614
I N La
4 2 2
Direct
0.6244 0.1250 0.2500 I
0.1256 0.6250 0.2500 I
0.3750 0.3756 0.7500 I
0.8750 0.8744 0.7500 I
0.5000 0.5000 0.0000 N
0.2500 0.7500 0.5000 N
0.0000 0.0000 0.0000 La
0.7500 0.2500 0.5000 La
```

Computed properties:
Formation energy from raw total energies: 0.31 eV per atom
Space group: I-42d (122)
Size of the total moment: 2.13 μB per cell

***

Crystalline La4I5N2 at its relaxed geometry. Source: Alexandria via LeMat-Bulk, functional PBE.

The structure in POSCAR format:
```
La4I5N2
1.0
4.0355 0.0000 0.0000
0.0000 8.9984 0.1800
-2.0177 -2.4977 9.6990
La I N
4 5 2
Direct
0.6528 0.5800 0.3056 La
0.9994 0.6861 0.9987 La
0.3472 0.4200 0.6944 La
0.0006 0.3139 0.0013 La
0.1622 0.8640 0.3243 I
0.8378 0.1360 0.6757 I
0.1696 0.3041 0.3393 I
0.5000 0.0000 0.0000 I
0.8304 0.6959 0.6607 I
0.5349 0.5183 0.0698 N
0.4651 0.4817 0.9302 N
```

Computed properties:
Formation energy from raw total energies: -1.33 eV per atom
Space group: C2/m (12)
Size of the total moment: 0.00 μB per cell

***

Which formula does entry 6 have? LaI2N2

***

Look up the formation energy from raw total energies of the second one. 0.98 eV per atom

***

Which value of size of the total moment does entry 1 give? 0.00 μB per cell

***

What is the formula in the second record? LaTcMo2I